! Sb2WCl | Alexandria via LeMat-Bulk | PBE | optimized geometry; values from VASP
! formation energy from raw total energies = 0.90 eV per atom
&SYSTEM
  ibrav = 0, nat = 4, ntyp = 3
/
ATOMIC_SPECIES
Cl 35.45 Cl.upf
Sb 121.76 Sb.upf
W 183.84 W.upf
ATOMIC_POSITIONS crystal
Cl 0.000 0.500 0.500
Sb 0.000 0.000 0.000
Sb 0.500 0.500 0.000
W 0.500 0.000 0.500
CELL_PARAMETERS angstrom
3.206 0.000 0.000
0.000 5.453 0.000
0.000 0.000 4.873

***

! MgBeTlF2 | Alexandria via LeMat-Bulk | PBE | optimized geometry; values from VASP
! formation energy from raw total energies = -1.44 eV per atom
&SYSTEM
  ibrav = 0, nat = 5, ntyp = 4
/
ATOMIC_SPECIES
Be 9.01 Be.upf
Tl 204.38 Tl.upf
Mg 24.30 Mg.upf
F 19.00 F.upf
ATOMIC_POSITIONS crystal
Be 0.500 0.500 0.500
Tl 0.000 0.500 0.000
Mg 0.000 0.000 0.000
F 0.000 0.000 0.500
F 0.500 0.000 0.000
CELL_PARAMETERS angstrom
3.751 0.000 0.000
0.000 7.946 0.000
0.000 0.000 3.751

***

! KNpAu2Se4 | Alexandria via LeMat-Bulk | PBE | optimized geometry; values from VASP
! formation energy from raw total energies = -0.51 eV per atom
&SYSTEM
  ibrav = 0, nat = 8, ntyp = 4
/
ATOMIC_SPECIES
K 39.10 K.upf
Np 237.00 Np.upf
Au 196.97 Au.upf
Se 78.96 Se.upf
ATOMIC_POSITIONS crystal
K 0.000 0.000 0.000
Np 0.500 0.500 0.500
Au 0.182 0.318 0.318
Au 0.818 0.682 0.682
Se 0.515 0.149 0.457
Se 0.121 0.851 0.543
Se 0.879 0.457 0.149
Se 0.485 0.543 0.851
CELL_PARAMETERS angstrom
-3.501 4.007 0.472
-2.937 1.823 -7.027
-6.729 -2.670 2.987

***

! K2RbBiPd | Alexandria via LeMat-Bulk | PBE | optimized geometry; values from VASP
! energy of formation = -0.92 eV/f.u.
&SYSTEM
  ibrav = 0, nat = 5, ntyp = 4
/
ATOMIC_SPECIES
K 39.10 K.upf
Rb 85.47 Rb.upf
Bi 208.98 Bi.upf
Pd 106.42 Pd.upf
ATOMIC_POSITIONS crystal
K 0.000 0.500 0.000
K 0.500 0.000 0.000
Rb 0.500 0.500 0.500
Bi 0.000 0.000 0.500
Pd 0.000 0.000 0.000
CELL_PARAMETERS angstrom
6.270 0.000 0.000
0.000 6.270 0.000
0.000 0.000 5.365

***

! HoThH | Alexandria via LeMat-Bulk | PBE | optimized geometry; values from VASP
! raw total energy = -5.159 eV/atom
&SYSTEM
  ibrav = 0, nat = 3, ntyp = 3
/
ATOMIC_SPECIES
H 1.01 H.upf
Ho 164.93 Ho.upf
Th 232.04 Th.upf
ATOMIC_POSITIONS crystal
H 0.223 0.223 0.445
Ho 0.742 0.742 0.483
Th 0.036 0.036 0.072
CELL_PARAMETERS angstrom
-0.357 2.243 -2.499
-0.337 -2.524 -2.218
-5.745 0.168 3.254

***

! BaCa4Mg2 | Alexandria via LeMat-Bulk | PBE | optimized geometry; values from VASP
! energy of formation = 0.22 eV/f.u.
&SYSTEM
  ibrav = 0, nat = 7, ntyp = 3
/
ATOMIC_SPECIES
Ba 137.33 Ba.upf
Ca 40.08 Ca.upf
Mg 24.30 Mg.upf
ATOMIC_POSITIONS crystal
Ba 0.000 0.000 0.000
Ca 0.500 0.819 0.639
Ca 0.000 0.677 0.355
Ca 0.500 0.181 0.361
Ca 0.000 0.323 0.645
Mg 0.500 0.573 0.145
Mg 0.500 0.427 0.855
CELL_PARAMETERS angstrom
-2.915 1.305 4.373
-3.021 -4.183 -0.765
7.791 -3.517 6.242